1.
A relaxed structure of TiGeS, computed with PBE.

Properties
For the total moment, the calculation gives 0.0 Bohr magnetons per cell. As for the crystal system: monoclinic. The value obtained for the uncorrected formation energy is -591 meV per atom. As for the volume: 225.8 Å³/cell. The total DFT energy (no corrections) is -6.137 eV/atom.

Cell: 5.620 6.692 6.004 Å, 90.00 90.71 90.00°
Space group P2_1/c (No. 14)
Unique sites:
Ti1 0.020 0.188 0.170 x4
Ge1 0.279 0.548 0.972 x4
S1 0.270 0.078 0.870 x4

***

2.
A relaxed structure of TiGe2S4, computed with PBE.

Properties
For the total moment, the calculation gives 0.0 Bohr magnetons per cell. As for the crystal system: tetragonal. The value obtained for the uncorrected formation energy is -334 meV per atom. As for the volume: 301.0 Å³/cell. The total DFT energy (no corrections) is -5.140 eV/atom.

Cell: 4.918 4.918 12.441 Å, 90.00 90.00 90.00°
Space group I4/mmm (No. 139)
Unique sites:
Ti1 0.000 0.000 0.000 x2
Ge1 0.000 0.000 0.374 x4
S1 0.000 0.000 0.190 x4
S2 0.000 0.500 0.000 x4

***

3.
A relaxed structure of TiGe2S6, computed with PBE.

Properties
For the total moment, the calculation gives 0.0 Bohr magnetons per cell. As for the crystal system: monoclinic. The value obtained for the uncorrected formation energy is -531 meV per atom. As for the volume: 803.0 Å³/cell. The total DFT energy (no corrections) is -5.186 eV/atom.

Cell: 11.792 10.860 6.383 Å, 90.00 100.76 90.00°
Space group C2/c (No. 15)
Unique sites:
Ti1 0.000 0.121 0.250 x4
Ge1 0.197 0.424 0.340 x8
S1 0.107 0.066 0.604 x8
S2 0.123 0.415 0.639 x8
S3 0.136 0.252 0.157 x8

***

4.
A relaxed structure of TiGe2S8, computed with PBE.

Properties
For the total moment, the calculation gives 0.0 Bohr magnetons per cell. As for the crystal system: trigonal. The value obtained for the uncorrected formation energy is 72 meV per atom. As for the volume: 257.4 Å³/cell. The total DFT energy (no corrections) is -4.487 eV/atom.

Cell: 6.7686 6.7686 6.4876 Å, 90.00 90.00 120.00°
Space group P-3m1 (No. 164)
Unique sites:
Ti1 0.0000 0.0000 0.0000 x1
Ge1 0.3333 0.6667 0.3355 x2
S1 0.1475 0.2950 0.2569 x6
S2 0.3333 0.6667 0.6771 x2

***

5.
A relaxed structure of TiGe2S4, computed with PBE.

Properties
For the total moment, the calculation gives 0.8 Bohr magnetons per cell. As for the crystal system: tetragonal. The value obtained for the uncorrected formation energy is -280 meV per atom. As for the volume: 331.4 Å³/cell. The total DFT energy (no corrections) is -5.085 eV/atom.

Cell: 6.992 6.992 6.779 Å, 90.00 90.00 90.00°
Space group I4/m (No. 87)
Unique sites:
Ti1 0.000 0.000 0.000 x2
Ge1 0.000 0.500 0.250 x4
S1 0.174 0.294 0.000 x8

***

6.
A relaxed structure of Ti2Ge2S, computed with PBE.

Properties
For the total moment, the calculation gives 0.0 Bohr magnetons per cell. As for the crystal system: tetragonal. The value obtained for the uncorrected formation energy is -598 meV per atom. As for the volume: 167.5 Å³/cell. The total DFT energy (no corrections) is -6.429 eV/atom.

Cell: 6.656 6.656 3.780 Å, 90.00 90.00 90.00°
Space group P4/mbm (No. 127)
Unique sites:
Ti1 0.175 0.325 0.000 x4
Ge1 0.130 0.630 0.500 x4
S1 0.000 0.000 0.000 x2